# 1
A plane-wave DFT calculation with PBE-GGA was carried out for a geometry-optimized V2AgTe7 structure.

Values from the calculation:
uncorrected energy: -42.026 eV/cell
total moment: 2.0 Bohr magnetons per cell
space-group type: Cmmm (65)
formation energy (no corrections): 1.054 eV per formula unit

a b c (Å): 5.1002 7.9689 7.9689
angles (deg): 109.85 90.00 90.00
With the nearest neighbours (Å) after each atom.
Sites, in units of the cell vectors:
Ag1 0.0000 0.0000 0.0000  2 Te 2.85
Te1 0.5000 0.9195 0.6504  2 V 2.74-2.95
Te2 0.0000 0.7814 0.2186  2 V 2.77, 1 Ag 2.85
Te3 0.5000 0.0805 0.3496  2 V 2.74-2.95
Te4 0.5000 0.5000 0.5000  2 V 2.58
V1 0.5000 0.6976 0.3024  5 Te 2.58-2.77
Te5 0.0000 0.2186 0.7814  2 V 2.77, 1 Ag 2.85
Te6 0.5000 0.3496 0.0805  2 V 2.74-2.95
V2 0.5000 0.3024 0.6976  5 Te 2.58-2.77
Te7 0.5000 0.6504 0.9195  2 V 2.74-2.95

=====

# 2
A plane-wave DFT calculation with PBE-GGA was carried out for a geometry-optimized CsLiTe2 structure.

Values from the calculation:
distance to the lowest polymorph of the same formula: 0.000 eV per formula unit
uncorrected energy: -24.705 eV/cell
total moment: 0.0 Bohr magnetons per cell
space-group type: I-42d (122)
formation energy (no corrections): -3.302 eV per formula unit

a b c (Å): 6.0472 6.0472 10.1160
angles (deg): 72.61 72.61 90.00
With the nearest neighbours (Å) after each atom.
Sites, in units of the cell vectors:
Li1 0.2500 0.7500 0.5000  4 Te 2.77
Cs1 0.7500 0.2500 0.5000  4 Te 3.84, 4 Li 4.28
Te1 0.3750 0.5695 0.7500  2 Li 2.77, 2 Te 3.10
Li2 0.5000 0.5000 0.0000  4 Te 2.77
Cs2 0.0000 0.0000 0.0000  4 Te 3.84, 4 Li 4.28
Te2 0.4305 0.1250 0.2500  2 Li 2.77, 2 Te 3.10
Te3 0.3195 0.6250 0.2500  2 Li 2.77, 2 Te 3.10
Te4 0.8750 0.6805 0.7500  2 Li 2.77, 2 Te 3.10

=====

# 3
A plane-wave DFT calculation with PBE-GGA was carried out for a geometry-optimized La2TaTiN5 structure.

Values from the calculation:
uncorrected energy: -166.967 eV/cell
total moment: 0.0 Bohr magnetons per cell
space-group type: Cmc2_1 (36)
formation energy (no corrections): -12.254 eV per formula unit

a b c (Å): 3.3698 6.9836 10.8685
angles (deg): 90.00 90.00 103.96
With the nearest neighbours (Å) after each atom.
Sites, in units of the cell vectors:
Ta1 0.2184 0.4367 0.0081  6 N 2.03-2.26
La1 0.8946 0.7891 0.1882  3 N 2.38-2.50
N1 0.3105 0.6211 0.3965  2 Ta 2.11, 1 Ti 2.33
La2 0.1411 0.2822 0.2909  5 N 2.52-2.57
N2 0.5033 0.0065 0.2914  1 Ti 1.89
N3 0.6895 0.3789 0.8965  2 Ta 2.11, 1 Ti 2.33
Ti1 0.5256 0.0512 0.9613  3 N 1.89-1.95
N4 0.9436 0.8873 0.5427  2 Ti 1.95
N5 0.2781 0.5562 0.6461  2 Ta 2.26, 1 La 2.38
La3 0.8589 0.7178 0.7909  5 N 2.52-2.57
N6 0.0564 0.1127 0.0427  2 Ti 1.95
N7 0.3676 0.7352 0.9988  1 Ta 2.03, 1 Ti 2.18
N8 0.6324 0.2648 0.4988  1 Ta 2.03, 1 Ti 2.18
N9 0.7219 0.4438 0.1461  2 Ta 2.26, 1 La 2.38
N10 0.4967 0.9935 0.7914  1 Ti 1.89
La4 0.1054 0.2109 0.6882  3 N 2.38-2.50
Ta2 0.7816 0.5633 0.5081  6 N 2.03-2.26
Ti2 0.4744 0.9488 0.4613  3 N 1.89-1.95

=====

# 4
A plane-wave DFT calculation with PBE-GGA was carried out for a geometry-optimized PmTmAg structure.

Values from the calculation:
E_form: 0.2 eV/f.u.
distance to the lowest polymorph of the same formula: 0.679 eV per formula unit
uncorrected energy: -23.819 eV/cell
total moment: 0.0 Bohr magnetons per cell
space-group type: R-3m (166)

a b c (Å): 5.0327 5.0327 8.8175
angles (deg): 73.42 73.42 60.00
With the nearest neighbours (Å) after each atom.
Sites, in units of the cell vectors:
Ag1 0.2541 0.2541 0.2376  4 Tm 2.98-3.07, 4 Pm 3.11-3.26
Ag2 0.7459 0.7459 0.7624  4 Tm 2.98-3.07, 4 Pm 3.11-3.26
Tm1 0.3734 0.3734 0.8799  4 Ag 2.98-3.07
Pm1 0.1236 0.1236 0.6294  4 Ag 3.11-3.26
Tm2 0.6266 0.6266 0.1201  4 Ag 2.98-3.07
Pm2 0.8764 0.8764 0.3706  4 Ag 3.11-3.26

=====

# 5
A plane-wave DFT calculation with PBE-GGA was carried out for a geometry-optimized TaIn2As structure.

Values from the calculation:
E_form: 2.2 eV/f.u.
uncorrected energy: -39.511 eV/cell
total moment: 0.0 Bohr magnetons per cell
space-group type: I-42d (122)

a b c (Å): 8.0164 8.0164 6.3126
angles (deg): 50.58 50.58 90.00
With the nearest neighbours (Å) after each atom.
Sites, in units of the cell vectors:
As1 0.2500 0.7500 0.5000  2 Ta 2.78, 4 In 2.89
In1 0.3750 0.3807 0.7500  2 In 2.78, 2 As 2.89, 2 Ta 2.95
Ta1 0.7500 0.2500 0.5000  2 As 2.78, 4 In 2.95
In2 0.1307 0.6250 0.2500  2 In 2.78, 2 As 2.89, 2 Ta 2.95
In3 0.8750 0.8693 0.7500  2 In 2.78, 2 As 2.89, 2 Ta 2.95
Ta2 0.0000 0.0000 0.0000  2 As 2.78, 4 In 2.95
In4 0.6193 0.1250 0.2500  2 In 2.78, 2 As 2.89, 2 Ta 2.95
As2 0.5000 0.5000 0.0000  2 Ta 2.78, 4 In 2.89